La4HgSbTe2, relaxed, DFT PBE-GGA; crystal system = monoclinic; magnetization = 0.00 μB per formula unit; volume = 274 Å³/f.u.; final energy = -5.02 eV per atom; space-group type = P2/m, No. 10
1.0
7.9804 0.0000 0.0000
0.0000 4.5264 0.0000
-2.5838 0.0000 7.5761
La Hg Sb Te
4 1 1 2
Direct
0.2461 0.0000 0.2452 La
0.2498 0.5000 0.7529 La
0.7502 0.5000 0.2471 La
0.7539 0.0000 0.7548 La
0.5000 0.0000 0.0000 Hg
0.0000 0.5000 0.0000 Sb
0.0000 0.0000 0.5000 Te
0.5000 0.5000 0.5000 Te